(1)
Here is a relaxed Al2Ag crystal from Alexandria via LeMat-Bulk. Energies are from PBE-GGA.

Cell and atoms, written as CIF:
```
data_Al2Ag
_chemical_formula_sum 'Al2 Ag1'
_cell_length_a 6.427
_cell_length_b 6.427
_cell_length_c 6.427
_cell_angle_alpha 154.04
_cell_angle_beta 154.04
_cell_angle_gamma 37.05
_space_group_name_H-M_alt 'P 1'
_space_group_IT_number 1
_space_group_name_Hall 'P 1'
loop_
_atom_site_label
_atom_site_fract_x
_atom_site_fract_y
_atom_site_fract_z
Al1 0.168 0.168 0.000
Al2 0.832 0.832 0.000
Ag1 0.500 0.500 0.000
```

Output
Spin magnetization   0.000 Bohr magnetons per cell
Uncorrected energy   -3.434 eV per atom
Formation enthalpy at 0 K   12 meV/atom
Volume   16.9 Å³/atom
Space group   No. 139

---

(2)
Here is a relaxed DyNbOs4 crystal from Alexandria via LeMat-Bulk. Energies are from PBE-GGA.

Cell and atoms, written as CIF:
```
data_DyNbOs4
_chemical_formula_sum 'Dy1 Nb1 Os4'
_cell_length_a 5.256
_cell_length_b 5.256
_cell_length_c 5.256
_cell_angle_alpha 60.00
_cell_angle_beta 60.00
_cell_angle_gamma 60.00
_space_group_name_H-M_alt 'P 1'
_space_group_IT_number 1
_space_group_name_Hall 'P 1'
loop_
_atom_site_label
_atom_site_fract_x
_atom_site_fract_y
_atom_site_fract_z
Dy1 0.000 0.000 0.000
Nb1 0.250 0.250 0.250
Os1 0.124 0.625 0.625
Os2 0.625 0.124 0.625
Os3 0.625 0.625 0.124
Os4 0.625 0.625 0.625
```

Output
Spin magnetization   0.000 Bohr magnetons per cell
Uncorrected energy   -10.021 eV per atom
Formation enthalpy at 0 K   -89 meV/atom
Volume   17.1 Å³/atom
Space group   No. 216

---

(3)
Here is a relaxed Li5Cd3Sb4 crystal from Alexandria via LeMat-Bulk. Energies are from PBE-GGA.

Cell and atoms, written as CIF:
```
data_Li5Cd3Sb4
_chemical_formula_sum 'Li5 Cd3 Sb4'
_cell_length_a 5.489
_cell_length_b 6.654
_cell_length_c 7.751
_cell_angle_alpha 101.18
_cell_angle_beta 93.14
_cell_angle_gamma 99.22
_space_group_name_H-M_alt 'P 1'
_space_group_IT_number 1
_space_group_name_Hall 'P 1'
loop_
_atom_site_label
_atom_site_fract_x
_atom_site_fract_y
_atom_site_fract_z
Li1 0.000 0.000 0.000
Li2 0.231 0.547 0.923
Li3 0.355 0.257 0.569
Li4 0.645 0.743 0.431
Li5 0.769 0.453 0.077
Cd1 0.193 0.831 0.664
Cd2 0.500 0.000 0.000
Cd3 0.807 0.169 0.336
Sb1 0.146 0.792 0.282
Sb2 0.303 0.368 0.233
Sb3 0.697 0.632 0.767
Sb4 0.854 0.208 0.718
```

Output
Spin magnetization   0.000 Bohr magnetons per cell
Uncorrected energy   -2.697 eV per atom
Volume   22.8 Å³/atom
ΔE_f (raw)   -0.297 eV per atom
Space group   No. 2

---

(4)
Here is a relaxed Sm3InSb crystal from Alexandria via LeMat-Bulk. Energies are from PBE-GGA.

Cell and atoms, written as CIF:
```
data_Sm3InSb
_chemical_formula_sum 'Sm6 In2 Sb2'
_cell_length_a 4.121
_cell_length_b 9.548
_cell_length_c 9.548
_cell_angle_alpha 64.16
_cell_angle_beta 90.00
_cell_angle_gamma 90.00
_space_group_name_H-M_alt 'P 1'
_space_group_IT_number 1
_space_group_name_Hall 'P 1'
loop_
_atom_site_label
_atom_site_fract_x
_atom_site_fract_y
_atom_site_fract_z
Sm1 0.000 0.000 0.000
Sm2 0.000 0.294 0.294
Sm3 0.500 0.351 0.718
Sm4 0.500 0.576 0.943
Sm5 0.500 0.718 0.351
Sm6 0.500 0.943 0.576
In1 0.000 0.647 0.647
In2 0.500 0.147 0.147
Sb1 0.000 0.146 0.647
Sb2 0.000 0.647 0.146
```

Output
Spin magnetization   0.000 Bohr magnetons per cell
Uncorrected energy   -4.639 eV per atom
Volume   33.8 Å³/atom
ΔE_f (raw)   -0.435 eV per atom
Space group   No. 38

---

(5)
Here is a relaxed TbHo5Sn4 crystal from Alexandria via LeMat-Bulk. Energies are from PBE-GGA.

Cell and atoms, written as CIF:
```
data_TbHo5Sn4
_chemical_formula_sum 'Tb1 Ho5 Sn4'
_cell_length_a 9.127
_cell_length_b 9.127
_cell_length_c 7.935
_cell_angle_alpha 101.37
_cell_angle_beta 101.37
_cell_angle_gamma 28.08
_space_group_name_H-M_alt 'P 1'
_space_group_IT_number 1
_space_group_name_Hall 'P 1'
loop_
_atom_site_label
_atom_site_fract_x
_atom_site_fract_y
_atom_site_fract_z
Tb1 0.000 0.000 0.000
Ho1 0.000 0.000 0.500
Ho2 0.294 0.294 0.691
Ho3 0.361 0.361 0.275
Ho4 0.639 0.639 0.725
Ho5 0.706 0.706 0.309
Sn1 0.188 0.188 0.013
Sn2 0.464 0.464 0.724
Sn3 0.536 0.536 0.276
Sn4 0.812 0.812 0.987
```

Output
Spin magnetization   0.330 Bohr magnetons per cell
Uncorrected energy   -4.748 eV per atom
Formation enthalpy at 0 K   -395 meV/atom
Volume   30.5 Å³/atom
Space group   No. 12

---

(6)
Here is a relaxed NaTaC2 crystal from Alexandria via LeMat-Bulk. Energies are from PBE-GGA.

Cell and atoms, written as CIF:
```
data_NaTaC2
_chemical_formula_sum 'Na1 Ta1 C2'
_cell_length_a 3.955
_cell_length_b 3.955
_cell_length_c 3.955
_cell_angle_alpha 60.00
_cell_angle_beta 60.00
_cell_angle_gamma 60.00
_space_group_name_H-M_alt 'P 1'
_space_group_IT_number 1
_space_group_name_Hall 'P 1'
loop_
_atom_site_label
_atom_site_fract_x
_atom_site_fract_y
_atom_site_fract_z
Na1 0.000 0.000 0.000
Ta1 0.500 0.500 0.500
C1 0.250 0.250 0.250
C2 0.750 0.750 0.750
```

Output
Spin magnetization   0.000 Bohr magnetons per cell
Uncorrected energy   -6.505 eV per atom
Formation enthalpy at 0 K   1399 meV/atom
Volume   10.9 Å³/atom
Distance to the lowest polymorph of the same formula   536 meV/atom
Space group   No. 225

---

(7)
Here is a relaxed ScIrSe2 crystal from Alexandria via LeMat-Bulk. Energies are from PBE-GGA.

Cell and atoms, written as CIF:
```
data_ScIrSe2
_chemical_formula_sum 'Sc1 Ir1 Se2'
_cell_length_a 7.735
_cell_length_b 7.735
_cell_length_c 7.735
_cell_angle_alpha 29.24
_cell_angle_beta 29.24
_cell_angle_gamma 29.24
_space_group_name_H-M_alt 'P 1'
_space_group_IT_number 1
_space_group_name_Hall 'P 1'
loop_
_atom_site_label
_atom_site_fract_x
_atom_site_fract_y
_atom_site_fract_z
Sc1 0.000 0.000 0.000
Ir1 0.240 0.240 0.240
Se1 0.541 0.541 0.541
Se2 0.728 0.728 0.728
```

Output
Spin magnetization   0.000 Bohr magnetons per cell
Uncorrected energy   -6.208 eV per atom
Volume   24.4 Å³/atom
Distance to the lowest polymorph of the same formula   228 meV/atom
ΔE_f (raw)   -0.667 eV per atom
Space group   No. 160

---

(8)
Here is a relaxed KB2TeO8 crystal from Alexandria via LeMat-Bulk. Energies are from PBE-GGA.

Cell and atoms, written as CIF:
```
data_KB2TeO8
_chemical_formula_sum 'K1 B2 Te1 O8'
_cell_length_a 4.717
_cell_length_b 4.717
_cell_length_c 7.322
_cell_angle_alpha 110.67
_cell_angle_beta 110.67
_cell_angle_gamma 67.00
_space_group_name_H-M_alt 'P 1'
_space_group_IT_number 1
_space_group_name_Hall 'P 1'
loop_
_atom_site_label
_atom_site_fract_x
_atom_site_fract_y
_atom_site_fract_z
K1 0.000 0.000 0.000
B1 0.444 0.444 0.696
B2 0.556 0.556 0.304
Te1 0.000 0.000 0.500
O1 0.215 0.684 0.290
O2 0.257 0.257 0.547
O3 0.316 0.785 0.710
O4 0.419 0.419 0.914
O5 0.581 0.581 0.086
O6 0.684 0.215 0.290
O7 0.743 0.743 0.453
O8 0.785 0.316 0.710
```

Output
Spin magnetization   1.008 Bohr magnetons per cell
Uncorrected energy   -6.201 eV per atom
Volume   11.3 Å³/atom
ΔE_f (raw)   -1.429 eV per atom
Space group   No. 12

---

Question: Which value of uncorrected energy does entry 6 give?
Answer: -6.505 eV per atom

---

Question: Which value of spin magnetization does entry 5 give?
Answer: 0.330 Bohr magnetons per cell

---

Question: What is the formula in the fourth record?
Answer: Sm3InSb